one | HfCoP2O | Alexandria | PBE with a Hubbard U | optimized geometry; space group = P4/mmm, No. 123; total magnetization = 1.67 μB per formula unit
1.0
-3.966 1.193 3.050
-3.115 -2.855 -2.933
0.768 -3.118 2.219
Co Hf O P
1 1 1 2
direct
0.500 0.500 0.500
0.000 0.000 0.000
0.000 0.000 0.500
0.000 0.500 0.000
0.500 0.000 0.000



two | HfCoP2O | Alexandria | PBE with a Hubbard U | optimized geometry; space group = P4/mmm, No. 123; total magnetization = 1.88 μB per formula unit
1.0
-2.468 3.697 1.128
-0.990 -1.898 4.055
2.844 1.476 1.385
Co Hf O P
1 1 1 2
direct
0.000 0.000 0.000
0.500 0.500 0.500
0.000 0.000 0.500
0.000 0.500 0.000
0.500 0.000 0.000



Which structure is most stable? two, by 73 meV/atom over the runner-up.



one | HfCoPO2 | Alexandria | PBE with a Hubbard U | optimized geometry; space group = P4/mmm, No. 123; total magnetization = 1.84 μB per formula unit
1.0
3.776 0.000 0.000
0.000 3.776 0.000
0.000 0.000 4.439
Co Hf O P
1 1 2 1
direct
0.000 0.000 0.000
0.500 0.500 0.500
0.000 0.500 0.000
0.500 0.000 0.000
0.000 0.000 0.500



two | HfCoPO2 | Alexandria | PBE with a Hubbard U | optimized geometry; space group = P4/mmm, No. 123; total magnetization = 2.72 μB per formula unit
1.0
-2.903 -2.666 -0.290
2.673 -2.911 0.007
-0.309 -0.269 5.563
Co Hf O P
1 1 2 1
direct
0.500 0.500 0.500
0.000 0.000 0.000
0.000 0.500 0.000
0.500 0.000 0.000
0.000 0.000 0.500



Which structure is most stable? two, by 447 meV/atom over the runner-up.



one | Sr2HfCoO6 | Alexandria | PBE with a Hubbard U | optimized geometry; space group = Fm-3m, No. 225; total magnetization = 1.02 μB per formula unit
1.0
0.000 3.951 3.951
3.951 0.000 3.951
3.951 3.951 0.000
Sr Hf Co O
2 1 1 6
direct
0.250 0.250 0.250
0.750 0.750 0.750
0.500 0.500 0.500
0.000 0.000 0.000
0.240 0.760 0.240
0.760 0.240 0.760
0.760 0.760 0.240
0.240 0.240 0.760
0.240 0.760 0.760
0.760 0.240 0.240



two | Sr2HfCoO6 | Alexandria | PBE with a Hubbard U | optimized geometry; space group = P4/mmm, No. 123; total magnetization = 3.00 μB per formula unit
1.0
-0.440 -3.855 1.268
-0.217 -1.251 -3.879
7.738 -0.927 -0.134
Sr Hf Co O
2 1 1 6
direct
0.000 0.000 0.726
0.000 0.000 0.274
0.500 0.500 0.000
0.500 0.500 0.500
0.500 0.000 0.000
0.500 0.000 0.500
0.000 0.500 0.000
0.000 0.500 0.500
0.500 0.500 0.733
0.500 0.500 0.267



Which structure is most stable? two, by 15 meV/atom over the runner-up.